The following is a DFT calculation (PBE-GGA) of La3TmPt2 after structural relaxation.

Unit cell a=4.7809 b=4.8157 c=8.1622 alpha=107.12 beta=106.90 gamma=90.07
Closest atoms and distances in Å follow each position.
Fractional positions:
La1 0.0000 0.0000 0.0000  4 Pt 3.02
La2 0.1883 0.6880 0.3763  1 Pt 2.79
La3 0.8117 0.3120 0.6237  1 Pt 2.79
Tm1 0.5000 0.5000 0.0000  4 Pt 3.03, 4 La 3.39
Pt1 0.3774 0.8758 0.7517  3 La 2.79-3.02, 2 Tm 3.03
Pt2 0.6226 0.1242 0.2483  3 La 2.79-3.02, 2 Tm 3.03

## Properties
Its total magnetization is 0.00 Bohr magnetons per cell. The calculation puts the volume at 28.51 Å³ per atom. As for the crystal system: triclinic. The raw total energy comes out at -36.04 eV per cell. The formation energy is -784.4 meV per atom. The space-group type is P-1, No. 2.